Record 1
First-principles (PBE-GGA) data for an optimized crystal structure of Cr2CdW, as listed in Alexandria.

- Uncorrected energy: -7.139 eV per atom
- ΔE_f: 1.1394 eV/atom
- SG: I-42d (122)
- Total moment: 0.000 μB per formula unit
- Density of states at the Fermi level: 8.5 states/eV/cell

Lattice parameters (Å, degrees): 6.9743 6.9743 5.6303 51.73 51.73 90.00
Closest atoms and distances in Å follow each position.
Fractional positions:
Cd1 0.2500 0.7500 0.5000  2 W 2.72, 4 Cr 2.73
Cd2 0.5000 0.5000 0.0000  2 W 2.72, 4 Cr 2.73
W1 0.7500 0.2500 0.5000  4 Cr 2.40
Cr1 0.8750 0.9104 0.7500  2 W 2.40
Cr2 0.3750 0.3396 0.7500  2 W 2.40
Cr3 0.0896 0.6250 0.2500  2 W 2.40
W2 0.0000 0.0000 0.0000  4 Cr 2.40
Cr4 0.6604 0.1250 0.2500  2 W 2.40

Record 2
First-principles (PBE-GGA) data for an optimized crystal structure of NdCu2SiNi2, as listed in Alexandria.

- Uncorrected energy: -5.077 eV per atom
- SG: P4/mmm (123)
- Energy relative to the elements, uncorrected: -86 meV per atom
- Total moment: 0.000 μB per formula unit
- Density of states at the Fermi level: 6.2 states/eV/cell

Lattice parameters (Å, degrees): 4.2477 4.2477 5.6112 90.00 90.00 90.00
Closest atoms and distances in Å follow each position.
Fractional positions:
Si1 0.0000 0.0000 0.0000  4 Ni 2.12
Cu1 0.5000 0.5000 0.2600  4 Ni 2.58, 1 Cu 2.69
Ni1 0.0000 0.5000 0.0000  2 Si 2.12
Nd1 0.0000 0.0000 0.5000  2 Si 2.81
Cu2 0.5000 0.5000 0.7400  4 Ni 2.58, 1 Cu 2.69
Ni2 0.5000 0.0000 0.0000  2 Si 2.12

Record 3
First-principles (PBE-GGA) data for an optimized crystal structure of NbPdRu3, as listed in Alexandria.

- Uncorrected energy: -7.033 eV per atom
- ΔE_f: 1.5845 eV/atom
- ΔE to the lowest computed polymorph: 0.000 eV per atom
- SG: Pm-3m (221)
- Total moment: 3.371 μB per formula unit
- Density of states at the Fermi level: 3.6 states/eV/cell

Lattice parameters (Å, degrees): 4.6759 4.6759 4.6759 90.00 90.00 90.00
Closest atoms and distances in Å follow each position.
Fractional positions:
Ru1 0.0000 0.5000 0.0000  2 Nb 2.34
Ru2 0.0000 0.0000 0.5000  2 Nb 2.34
Pd1 0.5000 0.5000 0.5000  12 Ru 3.31
Nb1 0.0000 0.0000 0.0000  6 Ru 2.34
Ru3 0.5000 0.0000 0.0000  2 Nb 2.34

Question: Look up the density of states at the Fermi level of the first one.
Answer: 8.5 states/eV/cell